No. 1
Fe2HgP after structural relaxation, computed with PBE.

```
4
Lattice="4.6306 0.0045 0.0023 0.8801 4.5462 -0.0023 -2.1370 -3.0241 2.7804" Properties=species:S:1:pos:R:3 pbc="T T T"
Fe 0.3417 0.2821 0.0000
Fe 2.4137 1.9932 0.0000
P 0.7492 1.8987 1.3890
Hg 2.6245 -0.3722 1.3914
```

Volume = 14.6 A^3/atom
Total magnetization = 2.9 μB/f.u.
ΔE to the lowest computed polymorph = 244.4 meV per atom
Space group = Immm (71)

***

No. 2
Ce3Sb4Pd3 after structural relaxation, computed with PBE.

```
20
Lattice="-1.2238 8.0784 -2.4303 -6.4677 -4.8118 -2.7712 0.3833 -0.3809 8.5072" Properties=species:S:1:pos:R:3 pbc="T T T"
Ce -5.2803 1.1068 3.8464
Pd -4.8257 3.7755 2.5219
Pd -6.3283 0.7434 -1.8170
Ce -0.9799 2.1422 5.1226
Ce -2.4482 5.6276 2.4977
Ce -4.8165 2.9086 -0.3646
Sb -4.2715 -2.1110 3.4240
Pd -4.8600 -2.7419 0.8080
Pd -2.4918 -0.0229 3.6702
Sb -5.8001 -0.1537 0.7334
Sb 0.3188 -0.3168 7.0763
Sb -1.8412 4.5246 -0.6591
Sb -2.5662 2.2522 2.1190
Sb -3.6399 0.2744 -2.1920
Sb -4.2518 4.3136 -3.4072
Pd -1.3909 5.1240 5.2747
Pd -2.0280 1.7788 -0.5408
Sb 0.1272 -0.1264 2.8226
Ce -2.4825 -0.8899 0.7838
Ce -5.9173 -2.2384 -1.9690
```

Volume = 23.8 A^3/atom
Total magnetization = 0.5 μB/f.u.
Space group = I-43d (220)
ΔE_f (raw) = -9.9 eV per formula unit

***

No. 3
PuGa2Si after structural relaxation, computed with PBE.

```
4
Lattice="4.6354 0.0000 0.0000 0.0000 2.7968 0.3058 0.0000 -0.6127 5.6055" Properties=species:S:1:pos:R:3 pbc="T T T"
Ga 0.0000 -0.4520 4.1367
Pu 2.3177 1.3984 0.1529
Si 2.3177 -0.3063 2.8027
Ga 0.0000 2.6361 1.7746
```

Volume = 18.4 A^3/atom
Total magnetization = 5.3 μB/f.u.
ΔE to the lowest computed polymorph = 148.5 meV per atom
Space group = Pmmm (47)
ΔE_f (raw) = -0.9 eV per formula unit